1.
A relaxed TaCrS4 crystal, computed with PBE.

Computed properties:
symmetry: P2_1/c, No. 14
formation energy (no corrections): -0.706 eV/atom
total energy: -7.037 eV per atom

abc: 6.834 5.413 6.971
angles: 90.00 119.61 90.00
Fractional positions:
1 Ta 0.000 0.000 0.000
2 Ta 0.000 0.500 0.500
3 Cr 0.500 0.000 0.000
4 Cr 0.500 0.500 0.500
5 S 0.177 0.245 0.347
6 S 0.177 0.255 0.847
7 S 0.330 0.741 0.156
8 S 0.330 0.759 0.656
9 S 0.670 0.241 0.344
10 S 0.670 0.259 0.844
11 S 0.823 0.745 0.153
12 S 0.823 0.755 0.653


2.
A relaxed TaCrS3 crystal, computed with PBE.

Computed properties:
ΔE to the lowest computed polymorph: 0 meV/atom
symmetry: C2/m, No. 12
formation energy (no corrections): -0.643 eV/atom
total energy: -7.415 eV per atom

abc: 6.028 6.028 6.902
angles: 96.74 96.74 123.34
Fractional positions:
1 Ta 0.158 0.842 0.000
2 Ta 0.842 0.158 0.000
3 Cr 0.398 0.398 0.868
4 Cr 0.602 0.602 0.132
5 S 0.060 0.438 0.757
6 S 0.247 0.247 0.234
7 S 0.438 0.060 0.757
8 S 0.562 0.940 0.243
9 S 0.753 0.753 0.766
10 S 0.940 0.562 0.243


3.
A relaxed TaCrS4 crystal, computed with PBE.

Computed properties:
symmetry: P2/m, No. 10
formation energy (no corrections): -0.837 eV/atom
total energy: -7.168 eV per atom

abc: 5.810 3.434 6.898
angles: 90.00 108.52 90.00
Fractional positions:
1 Ta 0.000 0.000 0.000
2 Cr 0.500 0.500 0.000
3 S 0.257 0.500 0.224
4 S 0.261 0.000 0.785
5 S 0.739 0.000 0.215
6 S 0.743 0.500 0.776


4.
A relaxed TaCr3S crystal, computed with PBE.

Computed properties:
ΔE to the lowest computed polymorph: 1425 meV/atom
symmetry: Pm-3m, No. 221
formation energy (no corrections): 1.718 eV/atom
total energy: -7.252 eV per atom

abc: 4.765 4.765 4.765
angles: 90.00 90.00 90.00
Fractional positions:
1 Ta 0.000 0.000 0.000
2 Cr 0.000 0.000 0.500
3 Cr 0.000 0.500 0.000
4 Cr 0.500 0.000 0.000
5 S 0.500 0.500 0.500


5.
A relaxed TaCr2S4 crystal, computed with PBE.

Computed properties:
symmetry: Cmcm, No. 63
formation energy (no corrections): -0.583 eV/atom
total energy: -7.384 eV per atom

abc: 6.145 6.145 11.872
angles: 90.00 90.00 148.43
Fractional positions:
1 Ta 0.137 0.863 0.750
2 Ta 0.863 0.137 0.250
3 Cr 0.373 0.627 0.576
4 Cr 0.373 0.627 0.924
5 Cr 0.627 0.373 0.076
6 Cr 0.627 0.373 0.424
7 S 0.000 0.000 0.000
8 S 0.000 0.000 0.500
9 S 0.279 0.721 0.115
10 S 0.279 0.721 0.385
11 S 0.479 0.521 0.750
12 S 0.521 0.479 0.250
13 S 0.721 0.279 0.615
14 S 0.721 0.279 0.885


6.
A relaxed TaCr3S crystal, computed with PBE.

Computed properties:
ΔE to the lowest computed polymorph: 0 meV/atom
symmetry: Pm-3m, No. 221
formation energy (no corrections): 0.293 eV/atom
total energy: -8.677 eV per atom

abc: 4.144 4.144 4.144
angles: 90.00 90.00 90.00
Fractional positions:
1 Ta 0.000 0.000 0.000
2 Cr 0.000 0.500 0.500
3 Cr 0.500 0.000 0.500
4 Cr 0.500 0.500 0.000
5 S 0.500 0.500 0.500


7.
A relaxed Ta3CrS crystal, computed with PBE.

Computed properties:
ΔE to the lowest computed polymorph: 0 meV/atom
symmetry: Pm-3m, No. 221
formation energy (no corrections): 0.657 eV/atom
total energy: -9.205 eV per atom

abc: 4.502 4.502 4.502
angles: 90.00 90.00 90.00
Fractional positions:
1 Ta 0.000 0.000 0.500
2 Ta 0.000 0.500 0.000
3 Ta 0.500 0.000 0.000
4 Cr 0.500 0.500 0.500
5 S 0.000 0.000 0.000


8.
A relaxed TaCrS2 crystal, computed with PBE.

Computed properties:
ΔE to the lowest computed polymorph: 128 meV/atom
symmetry: I-42d, No. 122
formation energy (no corrections): -0.223 eV/atom
total energy: -7.655 eV per atom

abc: 4.563 4.563 13.338
angles: 90.00 90.00 90.00
Fractional positions:
1 Ta 0.000 0.000 0.000
2 Ta 0.000 0.500 0.250
3 Ta 0.500 0.000 0.750
4 Ta 0.500 0.500 0.500
5 Cr 0.000 0.000 0.500
6 Cr 0.000 0.500 0.750
7 Cr 0.500 0.000 0.250
8 Cr 0.500 0.500 0.000
9 S 0.221 0.250 0.625
10 S 0.250 0.721 0.875
11 S 0.250 0.779 0.375
12 S 0.279 0.250 0.125
13 S 0.721 0.750 0.125
14 S 0.750 0.221 0.375
15 S 0.750 0.279 0.875
16 S 0.779 0.750 0.625